No. 1
VASP calculation (PBE) on crystalline BeCo2Pd at its relaxed geometry.

Fermi-level density of states = 7.85 states/eV/cell
Final energy = -5.568 eV/atom
E_form = 0.2148 eV/atom
SG = I-42d, No. 122

a b c (Å): 3.3245 3.3245 9.2020
angles (deg): 79.59 79.59 90.00
Site moments in Bohr magnetons follow the coordinates.
Sites, in units of the cell vectors:
Be 0.5000 0.5000 0.0000  -0.02
Be 0.2500 0.7500 0.5000  -0.02
Co 0.6012 0.1250 0.2500  1.75
Co 0.1488 0.6250 0.2500  1.74
Co 0.3750 0.3988 0.7500  1.76
Co 0.8750 0.8512 0.7500  1.76
Pd 0.0000 0.0000 0.0000  0.11
Pd 0.7500 0.2500 0.5000  0.11

=====

No. 2
VASP calculation (PBE) on crystalline BeCo3Pd at its relaxed geometry.

Fermi-level density of states = 6.48 states/eV/cell
Final energy = -5.601 eV/atom
E_form = 0.4465 eV/atom
Distance to the lowest polymorph of the same formula = 0 meV per atom
SG = Pm-3m, No. 221

a b c (Å): 3.8941 3.8941 3.8941
angles (deg): 90.00 90.00 90.00
Site moments in Bohr magnetons follow the coordinates.
Sites, in units of the cell vectors:
Be 0.0000 0.0000 0.0000  -0.13
Co 0.0000 0.5000 0.0000  1.56
Co 0.0000 0.0000 0.5000  1.44
Co 0.5000 0.0000 0.0000  1.50
Pd 0.5000 0.5000 0.5000  0.29

=====

No. 3
VASP calculation (PBE) on crystalline Be16CoPd2 at its relaxed geometry.

Fermi-level density of states = 3.59 states/eV/cell
Final energy = -4.267 eV/atom
E_form = -0.2085 eV/atom
SG = R3m, No. 160

a b c (Å): 5.5445 5.5445 5.5445
angles (deg): 81.93 81.93 81.93
Sites, in units of the cell vectors:
Be 0.6990 0.9999 0.3034
Be 0.9999 0.3034 0.6990
Be 0.3034 0.6990 0.9999
Be 0.9999 0.6990 0.3034
Be 0.6990 0.3034 0.9999
Be 0.3034 0.9999 0.6990
Be 0.3486 0.8335 0.3486
Be 0.8335 0.3486 0.3486
Be 0.3486 0.3486 0.8335
Be 0.6613 0.1500 0.6613
Be 0.1500 0.6613 0.6613
Be 0.6613 0.6613 0.1500
Be 0.0005 0.5060 0.0005
Be 0.5060 0.0005 0.0005
Be 0.0005 0.0005 0.5060
Be 0.1003 0.1003 0.1003
Co 0.9123 0.9123 0.9123
Pd 0.6494 0.6494 0.6494
Pd 0.3232 0.3232 0.3232

=====

No. 4
VASP calculation (PBE) on crystalline Be3CoPd2 at its relaxed geometry.

Fermi-level density of states = 1.57 states/eV/cell
Final energy = -5.294 eV/atom
E_form = -0.5158 eV/atom
SG = P4/mmm, No. 123

a b c (Å): 2.7519 2.7519 8.2617
angles (deg): 90.00 90.00 90.00
Sites, in units of the cell vectors:
Be 0.0000 0.0000 0.0000
Be 0.0000 0.0000 0.6387
Be 0.0000 0.0000 0.3613
Co 0.5000 0.5000 0.5000
Pd 0.5000 0.5000 0.8263
Pd 0.5000 0.5000 0.1737

=====

No. 5
VASP calculation (PBE) on crystalline Be3CoPd at its relaxed geometry.

Fermi-level density of states = 5.31 states/eV/cell
Final energy = -3.958 eV/atom
E_form = 0.7374 eV/atom
Distance to the lowest polymorph of the same formula = 402 meV per atom
SG = Pm-3m, No. 221

a b c (Å): 4.1014 4.1014 4.1014
angles (deg): 90.00 90.00 90.00
Site moments in Bohr magnetons follow the coordinates.
Sites, in units of the cell vectors:
Be 0.0000 0.5000 0.0000  -0.01
Be 0.0000 0.0000 0.5000  -0.04
Be 0.5000 0.0000 0.0000  -0.01
Co 0.5000 0.5000 0.5000  1.50
Pd 0.0000 0.0000 0.0000  0.00

=====

No. 6
VASP calculation (PBE) on crystalline Be3Co2Pd at its relaxed geometry.

Fermi-level density of states = 5.27 states/eV/cell
Final energy = -5.498 eV/atom
E_form = -0.4007 eV/atom
SG = P4/mmm, No. 123

a b c (Å): 2.6858 2.6858 7.9697
angles (deg): 90.00 90.00 90.00
Site moments in Bohr magnetons follow the coordinates.
Sites, in units of the cell vectors:
Be 0.0000 0.0000 0.0000  -0.01
Be 0.0000 0.0000 0.6948  -0.01
Be 0.0000 0.0000 0.3052  -0.01
Co 0.5000 0.5000 0.8440  0.30
Co 0.5000 0.5000 0.1560  0.30
Pd 0.5000 0.5000 0.5000  -0.01